Entry 1:
# SrSc2Ni

A relaxed SrSc2Ni crystal (PBE, Alexandria).

Cell lengths 3.3973, 5.4958, 10.7079 Å; angles 90.00, 90.00, 90.00 degrees
Last column: nearest neighbours and their distance in Å.
Space group Immm (No. 71)
Asymmetric unit:
1 Sr 0.0000 0.0000 0.0000 (multiplicity 2)  4 Ni 3.23, 2 Sr 3.40, 4 Sc 3.41
2 Sc 0.0000 0.5000 0.1879 (multiplicity 4)  2 Ni 2.63
3 Ni 0.0000 0.0000 0.5000 (multiplicity 2)  4 Sc 2.63

Output
The polymorph energy (0 for the lowest one) is 0.0623 eV per atom.

Entry 2:
# Ba3Tm2ThBi6

A relaxed Ba3Tm2ThBi6 crystal (PBE, Alexandria).

Cell lengths 8.1354, 14.1100, 8.5370 Å; angles 90.00, 108.58, 90.00 degrees
Last column: nearest neighbours and their distance in Å.
Space group C2/m (No. 12)
Asymmetric unit:
1 Ba 0.0000 0.0000 0.0000 (multiplicity 2)  6 Bi 3.54-3.59
2 Ba 0.0000 0.3352 0.0000 (multiplicity 4)  6 Bi 3.55-3.59
3 Tm 0.0000 0.1675 0.5000 (multiplicity 4)  6 Bi 3.19
4 Th 0.0000 0.5000 0.5000 (multiplicity 2)  6 Bi 3.25
5 Bi 0.2303 0.0000 0.7106 (multiplicity 4)  2 Tm 3.19, 1 Th 3.25, 1 Ba 3.54
6 Bi 0.2407 0.3305 0.7129 (multiplicity 8)  2 Tm 3.19, 1 Th 3.25, 1 Ba 3.55

Entry 3:
# Sr4InCo

A relaxed Sr4InCo crystal (PBE, Alexandria).

Cell lengths 9.8304, 9.8304, 9.8304 Å; angles 90.00, 90.00, 90.00 degrees
Last column: nearest neighbours and their distance in Å.
Space group F-43m (No. 216)
Asymmetric unit:
1 Sr 0.1250 0.1250 0.1250 (multiplicity 16)  6 Sr 3.48
2 In 0.0000 0.0000 0.5000 (multiplicity 4)  12 Sr 4.08, 4 Co 4.26
3 Co 0.2500 0.2500 0.7500 (multiplicity 4)  12 Sr 4.08, 4 In 4.26

Entry 4:
# LiMn2Pb

A relaxed LiMn2Pb crystal (PBE, Alexandria).

Cell lengths 3.3405, 3.3405, 6.3544 Å; angles 90.00, 90.00, 90.00 degrees
Last column: nearest neighbours and their distance in Å.
Space group P4mm (No. 99)
Asymmetric unit:
1 Li 0.0000 0.0000 0.0000 (multiplicity 1)  5 Mn 2.81-2.86, 4 Pb 2.93
2 Mn 0.0000 0.0000 0.4508 (multiplicity 1)  4 Mn 2.72, 1 Li 2.86, 4 Pb 2.94
3 Mn 0.5000 0.5000 0.2382 (multiplicity 1)  4 Mn 2.72, 4 Li 2.81
4 Pb 0.5000 0.5000 0.7266 (multiplicity 1)  4 Li 2.93, 6 Mn 2.94-3.25

| no. | energy of formation from the pure elements (meV per atom) |
| --- | --- |
| 1 | 20 |
| 2 | -753 |
| 3 | 814 |
| 4 | 323 |